# Pr5Dy2ErTh

Pr5Dy2ErTh after structural relaxation (PBE, Alexandria via LeMat-Bulk).

Summary:
Its energy is -4.870 eV/atom.

Cell lengths 5.4477, 11.2347, 10.6630 Å; angles 90.00, 90.00, 104.03 degrees
Last column: nearest neighbours and their distance in Å.
Fractional coordinates of all 18 atoms:
Dy  0.1125  0.2250  0.2530  1 Th 3.39, 7 Pr 3.61-3.67, 2 Er 3.78
Pr  0.5000  0.9999  0.7582  2 Er 3.47, 4 Dy 3.67, 6 Pr 3.81-3.84
Dy  0.1125  0.2249  0.7634  1 Th 3.39, 7 Pr 3.61-3.67, 2 Er 3.78
Pr  0.6267  0.2534  0.5082  1 Th 3.53, 6 Pr 3.84-3.88, 4 Dy 3.86
Pr  0.7220  0.4441  0.8158  2 Pr 3.23, 1 Er 3.33, 3 Th 3.42-3.58
Pr  0.2779  0.5558  0.7006  2 Pr 3.23, 1 Er 3.33, 3 Th 3.42-3.58
Pr  0.2780  0.5559  0.3158  2 Pr 3.23, 1 Er 3.33, 3 Th 3.42-3.59
Th  0.7884  0.5769  0.5082  2 Dy 3.39, 7 Pr 3.42-3.58, 2 Er 3.62
Er  0.6019  0.2039  0.0082  6 Pr 3.33-3.54, 2 Th 3.62
Dy  0.8875  0.7750  0.7530  1 Th 3.39, 7 Pr 3.61-3.67, 2 Er 3.78
Pr  0.3733  0.7466  0.0082  1 Th 3.53, 6 Pr 3.84-3.88, 4 Dy 3.86
Pr  0.0020  0.0040  0.5082  2 Er 3.54, 4 Dy 3.61-3.63, 6 Pr 3.81-3.85
Er  0.3981  0.7961  0.5082  6 Pr 3.33-3.54, 2 Th 3.62
Pr  0.9980  0.9960  0.0082  2 Er 3.54, 4 Dy 3.61-3.63, 6 Pr 3.81-3.85
Pr  0.5000  0.0001  0.2583  2 Er 3.47, 4 Dy 3.67, 6 Pr 3.81-3.84
Th  0.2116  0.4231  0.0082  2 Dy 3.39, 7 Pr 3.42-3.59, 2 Er 3.62
Dy  0.8875  0.7751  0.2635  1 Th 3.39, 7 Pr 3.61-3.67, 2 Er 3.78
Pr  0.7221  0.4442  0.2006  2 Pr 3.23, 1 Er 3.33, 3 Th 3.42-3.58